Entry from the Alexandria database: a geometry-optimized TaBeN2F structure (GGA-PBE).

Calculated values
Uncorrected formation energy = -50.58 kJ/mol of atoms
VASP energy = -7.344 eV/atom
ΔE to the lowest computed polymorph = 0 meV/atom

abc: 3.665 3.665 3.106
angles: 90.00 90.00 90.00
Sites, in units of the cell vectors:
Ta (0.000, 0.000, 0.000)
Be (0.500, 0.500, 0.500)
N (0.000, 0.500, 0.500)
N (0.500, 0.000, 0.500)
F (0.500, 0.500, 0.000)

Entry from the Alexandria database: a geometry-optimized TaBeNF2 structure (GGA-PBE).

Calculated values
Uncorrected formation energy = -74.86 kJ/mol of atoms
VASP energy = -6.305 eV/atom
ΔE to the lowest computed polymorph = 786 meV/atom

abc: 4.146 4.146 4.008
angles: 90.00 90.00 90.00
Sites, in units of the cell vectors:
Ta (0.000, 0.000, 0.000)
Be (0.500, 0.500, 0.500)
N (0.000, 0.000, 0.500)
F (0.000, 0.500, 0.000)
F (0.500, 0.000, 0.000)

Entry from the Alexandria database: a geometry-optimized TaBeN2F structure (GGA-PBE).

Calculated values
Uncorrected formation energy = -18.93 kJ/mol of atoms
VASP energy = -7.016 eV/atom
ΔE to the lowest computed polymorph = 328 meV/atom

abc: 4.062 4.062 3.955
angles: 90.00 90.00 90.00
Sites, in units of the cell vectors:
Ta (0.000, 0.000, 0.000)
Be (0.500, 0.500, 0.500)
N (0.000, 0.500, 0.000)
N (0.500, 0.000, 0.000)
F (0.000, 0.000, 0.500)

Entry from the Alexandria database: a geometry-optimized BeTe2NF structure (GGA-PBE).

Calculated values
Uncorrected formation energy = 125.86 kJ/mol of atoms
VASP energy = -2.737 eV/atom
ΔE to the lowest computed polymorph = 1183 meV/atom

abc: 4.839 4.839 3.863
angles: 90.00 90.00 90.00
Sites, in units of the cell vectors:
Be (0.000, 0.000, 0.000)
Te (0.000, 0.500, 0.500)
Te (0.500, 0.000, 0.500)
N (0.500, 0.500, 0.000)
F (0.500, 0.500, 0.500)

Entry from the Alexandria database: a geometry-optimized BeTe2NF structure (GGA-PBE).

Calculated values
Uncorrected formation energy = 11.76 kJ/mol of atoms
VASP energy = -3.919 eV/atom
ΔE to the lowest computed polymorph = 0 meV/atom

abc: 5.225 5.225 3.081
angles: 90.00 90.00 90.00
Sites, in units of the cell vectors:
Be (0.000, 0.000, 0.000)
Te (0.000, 0.500, 0.000)
Te (0.500, 0.000, 0.000)
N (0.000, 0.000, 0.500)
F (0.500, 0.500, 0.500)

Entry from the Alexandria database: a geometry-optimized BeTlNF2 structure (GGA-PBE).

Calculated values
Uncorrected formation energy = 30.62 kJ/mol of atoms
VASP energy = -3.315 eV/atom
ΔE to the lowest computed polymorph = 1468 meV/atom

abc: 4.422 4.422 4.309
angles: 90.00 90.00 90.00
Sites, in units of the cell vectors:
Be (0.000, 0.000, 0.000)
Tl (0.500, 0.500, 0.500)
N (0.500, 0.500, 0.000)
F (0.000, 0.500, 0.500)
F (0.500, 0.000, 0.500)

- What is the formula in the fourth record?
  BeTe2NF

- Which value of ΔE to the lowest computed polymorph does entry 6 give?
  1468 meV/atom

Repeat the fourth record exactly.
Entry from the Alexandria database: a geometry-optimized BeTe2NF structure (GGA-PBE).

Calculated values
Uncorrected formation energy = 125.86 kJ/mol of atoms
VASP energy = -2.737 eV/atom
ΔE to the lowest computed polymorph = 1183 meV/atom

abc: 4.839 4.839 3.863
angles: 90.00 90.00 90.00
Sites, in units of the cell vectors:
Be (0.000, 0.000, 0.000)
Te (0.000, 0.500, 0.500)
Te (0.500, 0.000, 0.500)
N (0.500, 0.500, 0.000)
F (0.500, 0.500, 0.500)